1.
Material: SnMoHOs
Method: DFT, PBE
State: relaxed

symmetry = No. 44
crystal system = orthorhombic
E above lowest polymorph = 165 meV/atom
D(E_F) = 0.6989 states/eV per atom
M_tot = 0.0 μB per formula unit
E = -7.099 eV/atom

Structure (extended XYZ):
```
8
Lattice="4.6264 0.0000 0.0000 0.0000 4.4138 0.0000 0.0000 0.0000 5.9657" Properties=species:S:1:pos:R:3 pbc="T T T"
Mo 2.3132 2.2069 2.8576
Mo 0.0000 0.0000 5.8405
Sn 0.0000 0.0000 2.9031
Sn 2.3132 2.2069 5.8859
Os 2.3132 0.0000 4.3005
Os 0.0000 2.2069 1.3176
H 2.3132 0.0000 2.6139
H 0.0000 2.2069 5.5968
```

***

2.
Material: SnMoHOs
Method: DFT, PBE
State: relaxed

symmetry = No. 6
crystal system = monoclinic
E above lowest polymorph = 29 meV/atom
D(E_F) = 0.4623 states/eV per atom
M_tot = 0.0 μB per formula unit
E = -7.235 eV/atom

Structure (extended XYZ):
```
4
Lattice="2.9983 0.0000 -0.0101 0.0000 2.9927 0.0000 -0.4725 0.0000 6.3582" Properties=species:S:1:pos:R:3 pbc="T T T"
Os -0.0122 1.4964 5.5046
H -0.3126 0.0000 4.5987
Mo 1.9758 0.0000 0.7526
Sn 0.5694 1.4964 2.8065
```

***

3.
Material: SnMoHOs
Method: DFT, PBE
State: relaxed

symmetry = No. 25
crystal system = orthorhombic
E above lowest polymorph = 234 meV/atom
D(E_F) = 0.3745 states/eV per atom
M_tot = 0.0 μB per formula unit
E = -7.030 eV/atom

Structure (extended XYZ):
```
4
Lattice="3.1062 0.0000 0.0000 0.0000 3.0111 0.0000 0.0000 0.0000 6.4011" Properties=species:S:1:pos:R:3 pbc="T T T"
Sn 0.0000 0.0000 2.4567
Mo 1.5531 1.5055 0.4171
Os 0.0000 0.0000 5.1259
H 1.5531 0.0000 5.7659
```

***

4.
Material: SnMoHOs
Method: DFT, PBE
State: relaxed

symmetry = No. 160
crystal system = trigonal
E above lowest polymorph = 225 meV/atom
D(E_F) = 0.5018 states/eV per atom
M_tot = 0.0 μB per formula unit
E = -7.039 eV/atom

Structure (extended XYZ):
```
12
Lattice="-0.6224 1.0148 -2.8063 -1.6610 -2.2517 1.2098 -12.5125 13.3071 7.5874" Properties=species:S:1:pos:R:3 pbc="T T T"
Mo -7.0327 6.3752 2.2096
Mo -11.5497 9.7220 6.0774
Mo -1.8932 2.0135 1.1480
Os -9.8266 9.3465 3.9038
Os -1.8312 -0.6137 0.1842
Os -4.6872 4.9848 2.8422
H -2.2643 1.3039 -0.6819
H -6.7813 4.6508 3.1859
H -9.6373 10.2493 5.8439
Sn -8.8282 6.8277 4.4272
Sn -11.6842 12.4262 7.0852
Sn -4.3112 3.4809 0.5593
```

***

5.
Material: SnMoHOs
Method: DFT, PBE
State: relaxed

symmetry = No. 38
crystal system = orthorhombic
E above lowest polymorph = 245 meV/atom
D(E_F) = 0.7003 states/eV per atom
M_tot = 0.0 μB per formula unit
E = -7.018 eV/atom

Structure (extended XYZ):
```
8
Lattice="-0.5380 1.8726 -2.2339 1.4476 -3.0764 -2.9275 -7.5976 -2.9573 -0.6492" Properties=species:S:1:pos:R:3 pbc="T T T"
Sn -3.0730 -0.1551 -1.3565
Sn -6.1480 -3.1720 -3.1449
H -6.1481 -2.3931 -0.5253
H -1.6255 -2.4527 -1.6645
Mo -0.4062 -0.1581 -0.0347
Mo -3.4812 -3.1750 -1.8231
Os -0.9884 -1.1636 -2.7040
Os -5.5110 -1.1041 -1.5649
```

***

6.
Material: SnMoHOs
Method: DFT, PBE
State: relaxed

symmetry = No. 25
crystal system = orthorhombic
E above lowest polymorph = 0 meV/atom
D(E_F) = 0.4393 states/eV per atom
M_tot = 0.0 μB per formula unit
E = -7.264 eV/atom

Structure (extended XYZ):
```
4
Lattice="-2.0601 -2.2046 -0.1492 2.1548 -2.0609 0.7001 -1.2588 0.7624 6.1182" Properties=species:S:1:pos:R:3 pbc="T T T"
Mo -0.2138 -1.9747 1.5444
Sn -1.7884 -0.6431 3.6113
Os -1.2175 0.7373 5.9173
H 0.6072 -0.7457 2.6352
```

***

7.
Material: SnMoHOs
Method: DFT, PBE
State: relaxed

symmetry = No. 6
crystal system = monoclinic
E above lowest polymorph = 7 meV/atom
D(E_F) = 0.6154 states/eV per atom
M_tot = 0.0 μB per formula unit
E = -7.256 eV/atom

Structure (extended XYZ):
```
4
Lattice="2.9919 0.0000 -0.0010 0.0000 3.0427 0.0000 -1.4586 0.0000 6.1230" Properties=species:S:1:pos:R:3 pbc="T T T"
Sn 1.2420 0.0000 2.2795
Os 2.7199 1.5213 0.3337
H -0.2432 1.5213 3.8471
Mo -0.2348 0.0000 4.8621
```

***

8.
Material: SnMoHOs
Method: DFT, PBE
State: relaxed

symmetry = No. 1
crystal system = triclinic
E above lowest polymorph = 212 meV/atom
D(E_F) = 0.5890 states/eV per atom
M_tot = 0.0 μB per formula unit
E = -7.051 eV/atom

Structure (extended XYZ):
```
4
Lattice="4.0993 -0.0014 -0.0046 -0.0052 4.3787 0.0008 -1.9439 -2.1876 3.4347" Properties=species:S:1:pos:R:3 pbc="T T T"
Os 1.9074 -0.3422 1.3394
H 0.1620 -0.3596 1.2046
Sn -0.1242 -0.3399 3.2704
Mo 1.9523 1.8468 2.8533
```

***

9.
Material: SnMoHOs
Method: DFT, PBE
State: relaxed

symmetry = No. 44
crystal system = orthorhombic
E above lowest polymorph = 174 meV/atom
D(E_F) = 0.5388 states/eV per atom
M_tot = 0.0 μB per formula unit
E = -7.089 eV/atom

Structure (extended XYZ):
```
8
Lattice="-3.1482 0.2503 0.5078 -0.8391 -2.5581 -3.9411 0.1496 -6.1458 3.9572" Properties=species:S:1:pos:R:3 pbc="T T T"
Sn 0.0265 -1.0896 0.7016
Sn -1.8923 -5.3163 0.9635
H -0.2760 -7.1743 1.8254
H -1.5054 -2.6973 2.0712
Mo -1.9828 -1.6001 -1.4293
Mo 0.0857 -3.5191 2.2659
Os -0.3641 -3.5550 -0.5051
Os -1.4439 -5.2237 3.6980
```

***

10.
Material: TaMoHOs2
Method: DFT, PBE
State: relaxed

symmetry = No. 123
crystal system = tetragonal
E above lowest polymorph = 25 meV/atom
D(E_F) = 1.0180 states/eV per atom
M_tot = 0.0 μB per formula unit
E = -9.677 eV/atom

Structure (extended XYZ):
```
5
Lattice="-2.3701 -0.0245 3.1981 -2.7762 -1.9606 -2.0725 1.6207 -3.5359 1.1740" Properties=species:S:1:pos:R:3 pbc="T T T"
Ta 0.8104 -1.7679 0.5870
Mo -1.7628 -2.7605 1.1498
H 0.0000 0.0000 0.0000
Os -1.1851 -0.0123 1.5991
Os -1.3881 -0.9803 -1.0362
```

***

11.
Material: TaMoHOs2
Method: DFT, PBE
State: relaxed

symmetry = No. 123
crystal system = tetragonal
E above lowest polymorph = 0 meV/atom
D(E_F) = 0.8491 states/eV per atom
M_tot = 0.0 μB per formula unit
E = -9.702 eV/atom

Structure (extended XYZ):
```
5
Lattice="-3.7698 1.1328 -0.6543 -0.6332 -3.3265 -2.1110 -1.1590 -1.9140 3.3637" Properties=species:S:1:pos:R:3 pbc="T T T"
Mo -0.5795 -0.9570 1.6819
H 0.0000 0.0000 0.0000
Os -0.3166 -1.6632 -1.0555
Os -1.8849 0.5664 -0.3272
Ta -2.7810 -2.0538 0.2992
```

***

12.
Material: TcMo2HOs
Method: DFT, PBE
State: relaxed

symmetry = No. 123
crystal system = tetragonal
E above lowest polymorph = 32 meV/atom
D(E_F) = 0.7138 states/eV per atom
M_tot = 0.0 μB per formula unit
E = -9.217 eV/atom

Structure (extended XYZ):
```
5
Lattice="4.0007 0.0000 0.0000 0.0000 4.0007 0.0000 0.0000 0.0000 3.9203" Properties=species:S:1:pos:R:3 pbc="T T T"
H 0.0000 0.0000 0.0000
Os 0.0000 0.0000 1.9602
Tc 2.0004 2.0004 1.9602
Mo 2.0004 0.0000 0.0000
Mo 0.0000 2.0004 0.0000
```

***

13.
Material: TcMo2HOs
Method: DFT, PBE
State: relaxed

symmetry = No. 123
crystal system = tetragonal
E above lowest polymorph = 0 meV/atom
D(E_F) = 0.6462 states/eV per atom
M_tot = 0.0 μB per formula unit
E = -9.250 eV/atom

Structure (extended XYZ):
```
5
Lattice="3.9909 0.0000 0.0000 0.0000 3.9909 0.0000 0.0000 0.0000 3.9284" Properties=species:S:1:pos:R:3 pbc="T T T"
Mo 0.0000 1.9954 0.0000
Mo 1.9954 0.0000 0.0000
H 0.0000 0.0000 0.0000
Os 1.9954 1.9954 1.9642
Tc 0.0000 0.0000 1.9642
```

***

14.
Material: Ti2MoHOs
Method: DFT, PBE
State: relaxed

symmetry = No. 123
crystal system = tetragonal
D(E_F) = 0.6232 states/eV per atom
M_tot = 0.0 μB per formula unit
E = -8.539 eV/atom

Structure (extended XYZ):
```
5
Lattice="-0.7173 -3.5378 -2.4491 3.4813 0.9821 -2.4382 1.9531 -1.8192 2.0559" Properties=species:S:1:pos:R:3 pbc="T T T"
H 0.0000 0.0000 0.0000
Ti 1.7406 0.4911 -1.2191
Ti -0.3586 -1.7689 -1.2246
Os 2.3586 -2.1875 -1.4158
Mo 0.9766 -0.9096 1.0279
```

***

15.
Material: TlMoH2Os
Method: DFT, PBE
State: relaxed

symmetry = No. 123
crystal system = tetragonal
D(E_F) = 0.6240 states/eV per atom
M_tot = 0.9 μB per formula unit
E = -5.046 eV/atom

Structure (extended XYZ):
```
5
Lattice="-0.0691 -0.4454 -3.5807 4.0075 -4.5320 0.4864 -2.7094 -2.3587 0.3457" Properties=species:S:1:pos:R:3 pbc="T T T"
H -1.3547 -1.1794 0.1729
H -0.0346 -0.2227 -1.7903
Tl 0.0000 0.0000 0.0000
Os 2.0037 -2.2660 0.2432
Mo 0.6144 -3.6681 -1.3743
```

***

16.
Material: V2MoHOs
Method: DFT, PBE
State: relaxed

symmetry = No. 123
crystal system = tetragonal
E above lowest polymorph = 0 meV/atom
D(E_F) = 0.9927 states/eV per atom
M_tot = 0.0 μB per formula unit
E = -8.742 eV/atom

Structure (extended XYZ):
```
5
Lattice="4.1659 0.0000 0.0000 0.0000 4.1659 0.0000 0.0000 0.0000 3.4607" Properties=species:S:1:pos:R:3 pbc="T T T"
V 2.0830 0.0000 0.0000
V 0.0000 2.0830 0.0000
Mo 2.0830 2.0830 1.7304
Os 0.0000 0.0000 1.7304
H 0.0000 0.0000 0.0000
```

***

17.
Material: V2MoHOs
Method: DFT, PBE
State: relaxed

symmetry = No. 123
crystal system = tetragonal
E above lowest polymorph = 14 meV/atom
D(E_F) = 0.8045 states/eV per atom
M_tot = 0.0 μB per formula unit
E = -8.728 eV/atom

Structure (extended XYZ):
```
5
Lattice="4.1633 0.0000 0.0000 0.0000 4.1633 0.0000 0.0000 0.0000 3.4478" Properties=species:S:1:pos:R:3 pbc="T T T"
V 0.0000 2.0817 0.0000
V 2.0817 0.0000 0.0000
H 0.0000 0.0000 0.0000
Os 2.0817 2.0817 1.7239
Mo 0.0000 0.0000 1.7239
```

***

18.
Material: MoHOsW2
Method: DFT, PBE
State: relaxed

symmetry = No. 123
crystal system = tetragonal
E above lowest polymorph = 25 meV/atom
D(E_F) = 0.7359 states/eV per atom
M_tot = 0.0 μB per formula unit
E = -10.058 eV/atom

Structure (extended XYZ):
```
5
Lattice="4.0504 0.0000 0.0000 0.0000 4.0504 0.0000 0.0000 0.0000 3.9469" Properties=species:S:1:pos:R:3 pbc="T T T"
H 0.0000 0.0000 0.0000
Os 0.0000 0.0000 1.9734
W 0.0000 2.0252 0.0000
W 2.0252 0.0000 0.0000
Mo 2.0252 2.0252 1.9734
```

***

19.
Material: Mo2HOsW
Method: DFT, PBE
State: relaxed

symmetry = No. 123
crystal system = tetragonal
D(E_F) = 0.8348 states/eV per atom
M_tot = 0.0 μB per formula unit
E = -9.689 eV/atom

Structure (extended XYZ):
```
5
Lattice="-1.3618 -0.9120 3.6447 -1.2007 -3.5678 -1.3414 3.5873 -1.5641 0.9490" Properties=species:S:1:pos:R:3 pbc="T T T"
H 0.0000 0.0000 0.0000
Mo -0.6004 -1.7839 -0.6707
Mo -0.6809 -0.4560 1.8223
W 1.7937 -0.7820 0.4745
Os 0.5124 -3.0219 1.6262
```

***

20.
Material: Mo2HOsW
Method: DFT, PBE
State: relaxed

symmetry = No. 123
crystal system = tetragonal
D(E_F) = 0.8026 states/eV per atom
M_tot = 0.0 μB per formula unit
E = -9.687 eV/atom

Structure (extended XYZ):
```
5
Lattice="4.0289 0.0000 0.0000 0.0000 4.0289 0.0000 0.0000 0.0000 3.9624" Properties=species:S:1:pos:R:3 pbc="T T T"
H 0.0000 0.0000 0.0000
Mo 0.0000 2.0145 0.0000
Mo 2.0145 0.0000 0.0000
W 2.0145 2.0145 1.9812
Os 0.0000 0.0000 1.9812
```

***

21.
Material: MoHOsW2
Method: DFT, PBE
State: relaxed

symmetry = No. 123
crystal system = tetragonal
E above lowest polymorph = 0 meV/atom
D(E_F) = 0.7285 states/eV per atom
M_tot = 0.0 μB per formula unit
E = -10.083 eV/atom

Structure (extended XYZ):
```
5
Lattice="4.0205 0.0000 0.0000 0.0000 4.0205 0.0000 0.0000 0.0000 3.9987" Properties=species:S:1:pos:R:3 pbc="T T T"
W 2.0103 0.0000 0.0000
W 0.0000 2.0103 0.0000
H 0.0000 0.0000 0.0000
Os 2.0103 2.0103 1.9994
Mo 0.0000 0.0000 1.9994
```

***

22.
Material: MoPH3
Method: DFT, PBE
State: relaxed

symmetry = No. 221
crystal system = cubic
E above lowest polymorph = 0 meV/atom
D(E_F) = 0.4609 states/eV per atom
M_tot = 0.1 μB per formula unit
E = -4.639 eV/atom

Structure (extended XYZ):
```
5
Lattice="3.5215 0.0000 0.0000 0.0000 3.5215 0.0000 0.0000 0.0000 3.5215" Properties=species:S:1:pos:R:3 pbc="T T T"
H 1.7607 0.0000 0.0000
H 0.0000 0.0000 1.7607
H 0.0000 1.7607 0.0000
P 1.7607 1.7607 1.7607
Mo 0.0000 0.0000 0.0000
```

***

23.
Material: MoP2H2
Method: DFT, PBE
State: relaxed

symmetry = No. 123
crystal system = tetragonal
D(E_F) = 0.5320 states/eV per atom
M_tot = 0.0 μB per formula unit
E = -5.054 eV/atom

Structure (extended XYZ):
```
5
Lattice="-2.2302 -0.8717 -2.5156 2.6129 -0.0871 -2.2863 0.5947 -3.9134 0.8288" Properties=species:S:1:pos:R:3 pbc="T T T"
P -1.1151 -0.4358 -1.2578
P 1.3064 -0.0436 -1.1432
H 0.2974 -1.9567 0.4144
H 0.0000 0.0000 0.0000
Mo 0.4887 -2.4361 -1.9865
```

***

24.
Material: Mo4PH
Method: DFT, PBE
State: relaxed

symmetry = No. 15
crystal system = monoclinic
D(E_F) = 0.7120 states/eV per atom
M_tot = 0.0 μB per formula unit
E = -8.718 eV/atom

Structure (extended XYZ):
```
12
Lattice="5.7441 -0.2704 0.0000 -1.0110 4.9974 0.0000 -2.3665 -2.3635 5.6310" Properties=species:S:1:pos:R:3 pbc="T T T"
P 1.4360 -0.0676 4.1673
P 0.9305 2.4311 1.4637
Mo -0.3597 1.3551 3.3693
Mo 2.7262 1.0083 2.2617
Mo -0.8652 3.8538 2.2617
Mo -2.4105 1.4079 5.2073
Mo -0.4616 -1.2727 5.2073
Mo 2.8281 3.6362 0.4236
Mo 4.7770 0.9555 0.4236
Mo 3.2317 -1.4903 3.3693
H 4.3080 -0.2028 2.1187
H -1.9415 2.5663 3.5122
```

***

25.
Material: Mo2PH
Method: DFT, PBE
State: relaxed

symmetry = No. 166
crystal system = trigonal
E above lowest polymorph = 428 meV/atom
D(E_F) = 0.4131 states/eV per atom
M_tot = 0.0 μB per formula unit
E = -7.425 eV/atom

Structure (extended XYZ):
```
4
Lattice="3.4436 0.0000 0.0000 1.7218 2.9822 0.0000 1.7218 0.9941 5.9193" Properties=species:S:1:pos:R:3 pbc="T T T"
Mo 5.1654 2.9822 1.7630
Mo 1.7218 0.9941 4.1563
H 0.0000 0.0000 0.0000
P 3.4436 1.9882 2.9597
```

***

26.
Material: Mo2PH
Method: DFT, PBE
State: relaxed

symmetry = No. 62
crystal system = orthorhombic
E above lowest polymorph = 0 meV/atom
D(E_F) = 0.5541 states/eV per atom
M_tot = 0.0 μB per formula unit
E = -7.853 eV/atom

Structure (extended XYZ):
```
16
Lattice="-1.7997 -1.7768 -2.0400 4.1484 -3.1059 -0.9546 -3.0623 -6.7191 8.5540" Properties=species:S:1:pos:R:3 pbc="T T T"
Mo 2.0612 -3.9794 0.3538
Mo 1.1026 -5.8327 2.8137
Mo -0.4193 -3.3179 1.9660
Mo -0.2944 -8.2839 3.5935
Mo -1.8163 -5.7691 2.7458
Mo 0.3694 -1.3375 -0.4548
Mo -2.7749 -7.6224 5.2056
Mo -1.0831 -10.2643 6.0142
H -1.4854 -3.8949 3.4091
H 0.7717 -7.7069 2.1504
H 1.9297 -2.5058 -0.8137
H -2.6434 -9.0960 6.3732
P -0.7432 -6.3167 4.8637
P -1.5915 -2.7378 -0.0928
P 0.8778 -8.8640 5.6523
P 0.0295 -5.2851 0.6957
```

***

27.
Material: MoPH3
Method: DFT, PBE
State: relaxed

symmetry = No. 221
crystal system = cubic
E above lowest polymorph = 301 meV/atom
D(E_F) = 0.3189 states/eV per atom
M_tot = 0.0 μB per formula unit
E = -4.338 eV/atom

Structure (extended XYZ):
```
5
Lattice="3.3499 0.0000 0.0000 0.0000 3.3499 0.0000 0.0000 0.0000 3.3499" Properties=species:S:1:pos:R:3 pbc="T T T"
H 1.6749 0.0000 0.0000
H 0.0000 1.6749 0.0000
H 0.0000 0.0000 1.6749
P 0.0000 0.0000 0.0000
Mo 1.6749 1.6749 1.6749
```